! CsGaIr PBE optimized geometry; values from VASP
! - ΔE_f: -0.08 eV per atom
! - Total energy: -4.326 eV per atom
! - N(E_F): 3.44 states/eV per cell
! - Volume: 39.1 A^3/atom
&SYSTEM
  ibrav = 0, nat = 6, ntyp = 3
/
ATOMIC_SPECIES
Cs 132.91 Cs.upf
Ga 69.72 Ga.upf
Ir 192.22 Ir.upf
ATOMIC_POSITIONS crystal
Cs 0.250 0.250 0.234
Cs 0.750 0.750 0.766
Ga 0.250 0.250 0.585
Ga 0.750 0.750 0.415
Ir 0.250 0.750 0.500
Ir 0.750 0.250 0.500
CELL_PARAMETERS angstrom
4.521 0.000 0.000
0.000 4.521 0.000
0.000 0.000 11.490

---

! CsGaIr2 PBE optimized geometry; values from VASP
! - ΔE_f: 0.48 eV per atom
! - Total energy: -4.925 eV per atom
! - N(E_F): 6.42 states/eV per cell
! - Volume: 27.7 A^3/atom
&SYSTEM
  ibrav = 0, nat = 8, ntyp = 3
/
ATOMIC_SPECIES
Cs 132.91 Cs.upf
Ga 69.72 Ga.upf
Ir 192.22 Ir.upf
ATOMIC_POSITIONS crystal
Cs 0.375 0.625 0.750
Cs 0.625 0.375 0.250
Ga 0.125 0.875 0.250
Ga 0.875 0.125 0.750
Ir 0.000 0.000 0.000
Ir 0.000 0.000 0.500
Ir 0.000 0.500 0.000
Ir 0.500 0.000 0.500
CELL_PARAMETERS angstrom
-2.526 2.526 8.681
2.526 -2.526 8.681
2.526 2.526 -8.681

---

! CsGa3Ir PBE optimized geometry; values from VASP
! - ΔE_f: -0.24 eV per atom
! - Total energy: -4.000 eV per atom
! - N(E_F): 3.79 states/eV per cell
! - Volume: 24.4 A^3/atom
&SYSTEM
  ibrav = 0, nat = 5, ntyp = 3
/
ATOMIC_SPECIES
Cs 132.91 Cs.upf
Ga 69.72 Ga.upf
Ir 192.22 Ir.upf
ATOMIC_POSITIONS crystal
Cs 0.000 0.000 0.000
Ga 0.000 0.500 0.500
Ga 0.500 0.000 0.500
Ga 0.500 0.500 0.000
Ir 0.500 0.500 0.500
CELL_PARAMETERS angstrom
4.957 0.000 0.000
0.000 4.957 0.000
0.000 0.000 4.957

---

! Cs3GaIr PBE optimized geometry; values from VASP
! - ΔE_f: 0.79 eV per atom
! - Total energy: -2.100 eV per atom
! - N(E_F): 6.69 states/eV per cell
! - Volume: 50.7 A^3/atom
&SYSTEM
  ibrav = 0, nat = 5, ntyp = 3
/
ATOMIC_SPECIES
Cs 132.91 Cs.upf
Ga 69.72 Ga.upf
Ir 192.22 Ir.upf
ATOMIC_POSITIONS crystal
Cs 0.000 0.000 0.500
Cs 0.000 0.500 0.000
Cs 0.500 0.000 0.000
Ga 0.500 0.500 0.500
Ir 0.000 0.000 0.000
CELL_PARAMETERS angstrom
6.328 0.000 0.000
0.000 6.328 0.000
0.000 0.000 6.328